# 1
This record from the Alexandria database describes crystalline TeW4 at its relaxed geometry. The functional is PBE-GGA.

Properties
- mass density (g/cm³) = 13.16
- symmetry = Pm-3m (221)
- total magnetic moment (μB/cell) = 0.00
- raw formation energy (eV per formula unit) = 14.16

Cell lengths 4.775, 4.775, 4.775 Å; angles 90.00, 90.00, 90.00 degrees
Atoms (fractional coordinates):
Te1 0.000 0.000 0.000
W1 0.000 0.000 0.500
W2 0.000 0.500 0.000
W3 0.500 0.000 0.000
W4 0.500 0.500 0.500

# 2
This record from the Alexandria database describes crystalline ScCuC at its relaxed geometry. The functional is PBE-GGA.

Properties
- mass density (g/cm³) = 4.88
- symmetry = C2 (5)
- total magnetic moment (μB/cell) = 0.00
- calculated formation energy (eV per atom) = -0.18

Cell lengths 3.678, 3.678, 6.057 Å; angles 90.00, 90.00, 90.00 degrees
Atoms (fractional coordinates):
Sc1 0.000 0.000 0.000
Sc2 0.000 0.000 0.500
Cu1 0.499 0.500 0.752
Cu2 0.500 0.501 0.248
C1 0.000 0.499 0.251
C2 0.501 0.000 0.749

# 3
This record from the Alexandria database describes crystalline Ba2InSnRh at its relaxed geometry. The functional is PBE-GGA.

Properties
- mass density (g/cm³) = 5.44
- symmetry = P4/mmm (123)
- total magnetic moment (μB/cell) = 0.00
- calculated formation energy (eV per atom) = -0.33

Cell lengths 6.030, 6.030, 5.130 Å; angles 90.00, 90.00, 90.00 degrees
Atoms (fractional coordinates):
Ba1 0.000 0.500 0.000
Ba2 0.500 0.000 0.000
In1 0.000 0.000 0.500
Sn1 0.500 0.500 0.500
Rh1 0.500 0.500 0.000

# 4
This record from the Alexandria database describes crystalline ZrTl2 at its relaxed geometry. The functional is PBE-GGA.

Properties
- mass density (g/cm³) = 11.01
- symmetry = Fd-3m (227)
- total magnetic moment (μB/cell) = 0.00
- calculated formation energy (eV per atom) = 0.42

Cell lengths 5.974, 5.974, 5.974 Å; angles 60.00, 60.00, 60.00 degrees
Atoms (fractional coordinates):
Zr1 0.125 0.125 0.125
Zr2 0.875 0.875 0.875
Tl1 0.000 0.500 0.500
Tl2 0.500 0.000 0.500
Tl3 0.500 0.500 0.000
Tl4 0.500 0.500 0.500

# 5
This record from the Alexandria database describes crystalline NbFe2Co2 at its relaxed geometry. The functional is PBE-GGA.

Properties
- mass density (g/cm³) = 8.57
- symmetry = I4/mmm (139)
- total magnetic moment (μB/cell) = 0.00
- calculated formation energy (eV per atom) = 0.23

Cell lengths 5.569, 5.569, 5.569 Å; angles 142.90, 142.90, 53.47 degrees
Atoms (fractional coordinates):
Nb1 0.000 0.000 0.000
Fe1 0.397 0.397 0.000
Fe2 0.603 0.603 0.000
Co1 0.250 0.750 0.500
Co2 0.750 0.250 0.500

# 6
This record from the Alexandria database describes crystalline InGeBr3 at its relaxed geometry. The functional is PBE-GGA.

Properties
- mass density (g/cm³) = 3.90
- symmetry = P2_1/c (14)
- total magnetic moment (μB/cell) = 0.00
- raw formation energy (eV per formula unit) = -2.93

Cell lengths 8.765, 6.912, 13.679 Å; angles 90.00, 118.67, 90.00 degrees
Atoms (fractional coordinates):
In1 0.170 0.121 0.161
In2 0.170 0.379 0.661
In3 0.830 0.621 0.339
In4 0.830 0.879 0.839
Ge1 0.304 0.557 0.325
Ge2 0.304 0.943 0.825
Ge3 0.696 0.057 0.175
Ge4 0.696 0.443 0.675
Br1 0.014 0.696 0.174
Br2 0.014 0.804 0.674
Br3 0.273 0.649 0.494
Br4 0.273 0.851 0.994
Br5 0.481 0.648 0.836
Br6 0.481 0.852 0.336
Br7 0.519 0.148 0.664
Br8 0.519 0.352 0.164
Br9 0.727 0.149 0.006
Br10 0.727 0.351 0.506
Br11 0.986 0.196 0.326
Br12 0.986 0.304 0.826

# 7
This record from the Alexandria database describes crystalline CrCo2Rh at its relaxed geometry. The functional is PBE-GGA.

Properties
- mass density (g/cm³) = 9.51
- symmetry = Cm (8)
- total magnetic moment (μB/cell) = 1.45
- calculated formation energy (eV per atom) = 0.08

Cell lengths 4.412, 4.412, 4.420 Å; angles 100.12, 100.12, 34.30 degrees
Atoms (fractional coordinates):
Cr1 0.000 0.000 0.000
Co1 0.492 0.492 0.466
Co2 0.747 0.747 0.245
Rh1 0.245 0.245 0.742

# 8
This record from the Alexandria database describes crystalline CeTm3Sc at its relaxed geometry. The functional is PBE-GGA.

Properties
- mass density (g/cm³) = 7.99
- symmetry = P2_1/m (11)
- total magnetic moment (μB/cell) = 1.38
- calculated formation energy (eV per atom) = 0.06

Cell lengths 8.420, 3.443, 10.324 Å; angles 90.00, 106.11, 90.00 degrees
Atoms (fractional coordinates):
Ce1 0.247 0.250 0.244
Ce2 0.753 0.750 0.756
Tm1 0.049 0.250 0.658
Tm2 0.349 0.750 0.547
Tm3 0.451 0.250 0.851
Tm4 0.549 0.750 0.149
Tm5 0.651 0.250 0.453
Tm6 0.951 0.750 0.342
Sc1 0.146 0.750 0.955
Sc2 0.854 0.250 0.045

# 9
This record from the Alexandria database describes crystalline NaLi16Ca2 at its relaxed geometry. The functional is PBE-GGA.

Properties
- mass density (g/cm³) = 0.80
- symmetry = R3m (160)
- total magnetic moment (μB/cell) = 0.00
- calculated formation energy (eV per atom) = 0.03

Cell lengths 7.697, 7.697, 7.697 Å; angles 82.80, 82.80, 82.80 degrees
Atoms (fractional coordinates):
Na1 0.000 0.000 0.000
Li1 0.100 0.401 0.799
Li2 0.100 0.799 0.401
Li3 0.104 0.104 0.588
Li4 0.104 0.588 0.104
Li5 0.202 0.202 0.202
Li6 0.256 0.745 0.745
Li7 0.401 0.100 0.799
Li8 0.401 0.799 0.100
Li9 0.450 0.450 0.949
Li10 0.450 0.949 0.450
Li11 0.588 0.104 0.104
Li12 0.745 0.256 0.745
Li13 0.745 0.745 0.256
Li14 0.799 0.100 0.401
Li15 0.799 0.401 0.100
Li16 0.949 0.450 0.450
Ca1 0.441 0.441 0.441
Ca2 0.750 0.750 0.750

# 10
This record from the Alexandria database describes crystalline Sn2BiPb at its relaxed geometry. The functional is PBE-GGA.

Properties
- mass density (g/cm³) = 6.42
- symmetry = I-42d (122)
- total magnetic moment (μB/cell) = 0.00
- calculated formation energy (eV per atom) = 0.19

Cell lengths 8.555, 8.555, 8.555 Å; angles 132.10, 132.10, 70.08 degrees
Atoms (fractional coordinates):
Sn1 0.121 0.625 0.996
Sn2 0.375 0.371 0.496
Sn3 0.629 0.125 0.004
Sn4 0.875 0.879 0.504
Bi1 0.250 0.750 0.500
Bi2 0.500 0.500 0.000
Pb1 0.000 0.000 0.000
Pb2 0.750 0.250 0.500

# 11
This record from the Alexandria database describes crystalline Sn3IrRu at its relaxed geometry. The functional is PBE-GGA.

Properties
- mass density (g/cm³) = 8.43
- symmetry = Pm-3m (221)
- total magnetic moment (μB/cell) = 0.89
- calculated formation energy (eV per atom) = 0.72

Cell lengths 5.038, 5.038, 5.038 Å; angles 90.00, 90.00, 90.00 degrees
Atoms (fractional coordinates):
Sn1 0.000 0.000 0.500
Sn2 0.000 0.500 0.000
Sn3 0.500 0.000 0.000
Ir1 0.500 0.500 0.500
Ru1 0.000 0.000 0.000

# 12
This record from the Alexandria database describes crystalline Sm2TeH at its relaxed geometry. The functional is PBE-GGA.

Properties
- E (eV per atom) = -4.823
- mass density (g/cm³) = 7.35
- symmetry = P2_1/c (14)
- total magnetic moment (μB/cell) = 0.00

Cell lengths 8.190, 6.424, 7.521 Å; angles 90.00, 101.36, 90.00 degrees
Atoms (fractional coordinates):
Sm1 0.054 0.144 0.313
Sm2 0.054 0.356 0.813
Sm3 0.320 0.661 0.533
Sm4 0.320 0.839 0.033
Sm5 0.680 0.161 0.967
Sm6 0.680 0.339 0.467
Sm7 0.946 0.644 0.187
Sm8 0.946 0.856 0.687
Te1 0.342 0.129 0.672
Te2 0.342 0.371 0.172
Te3 0.658 0.629 0.828
Te4 0.658 0.871 0.328
H1 0.069 0.678 0.940
H2 0.069 0.822 0.440
H3 0.931 0.178 0.560
H4 0.931 0.322 0.060